ZrSc5Zn3: optimized geometry, PBE.

Unit cell a=8.2876 b=8.2876 c=6.2130 alpha=90.00 beta=90.00 gamma=120.00
Element x y z (fractional)
Zr  0.0000  0.0000  0.0000
Zr  0.0000  0.0000  0.5000
Sc  0.0000  0.3313  0.2500
Sc  0.0000  0.6687  0.7500
Sc  0.3313  0.0000  0.2500
Sc  0.3313  0.3313  0.7500
Sc  0.3333  0.6667  0.0000
Sc  0.3333  0.6667  0.5000
Sc  0.6667  0.3333  0.0000
Sc  0.6667  0.3333  0.5000
Sc  0.6687  0.0000  0.7500
Sc  0.6687  0.6687  0.2500
Zn  0.0000  0.3353  0.7500
Zn  0.0000  0.6647  0.2500
Zn  0.3353  0.0000  0.7500
Zn  0.3353  0.3353  0.2500
Zn  0.6647  0.0000  0.2500
Zn  0.6647  0.6647  0.7500

Output
Its density of states at the Fermi level is 18.22 states/eV per cell. The total magnetization comes out at 0.07 μB/atom. Its space-group type is No. 193.

=====

ZrSc2Zn: optimized geometry, PBE.

Unit cell a=4.3247 b=4.3247 c=8.9640 alpha=90.00 beta=90.00 gamma=90.00
Element x y z (fractional)
Zr  0.0000  0.0000  0.0000
Zr  0.5000  0.5000  0.5000
Sc  0.0000  0.5000  0.2500
Sc  0.0000  0.5000  0.7500
Sc  0.5000  0.0000  0.2500
Sc  0.5000  0.0000  0.7500
Zn  0.0000  0.0000  0.5000
Zn  0.5000  0.5000  0.0000

Output
Its density of states at the Fermi level is 11.03 states/eV per cell. The total magnetization comes out at 0.27 μB/atom. Its space-group type is No. 139.

=====

Asked for ΔH_f (0 K) across the records above, the calculation gives -0.2022; -0.0595 eV per atom in order.